[1]
The following is a DFT calculation (GGA+U) of crystalline HfRe2MoO at its relaxed geometry.

Summary:
The energy is -41.78 eV/cell. As for the magnetization: 0.43 μB/f.u.

abc: 4.9427 4.9427 3.7348
angles: 90.00 90.00 90.00
Last column: nearest neighbours and their distance in Å.
Space group P4/mmm (No. 123)
Inequivalent atoms, fractional coordinates:
1 Hf 0.0000 0.0000 0.0000 x1  8 Re 3.10
2 Re 0.0000 0.5000 0.5000 x2  2 Mo 2.47
3 Mo 0.5000 0.5000 0.5000 x1  2 O 1.87
4 O 0.5000 0.5000 0.0000 x1  2 Mo 1.87

=====

[2]
The following is a DFT calculation (GGA+U) of crystalline HfSbMoO6 at its relaxed geometry.

Summary:
The energy is -140.16 eV/cell. As for the magnetization: 3.00 μB/f.u.

abc: 5.3494 5.3494 9.1335
angles: 90.00 90.00 120.00
Last column: nearest neighbours and their distance in Å.
Space group P-31c (No. 163)
Inequivalent atoms, fractional coordinates:
1 Hf 0.3333 0.6667 0.2500 x2  6 O 2.09
2 Sb 0.3333 0.6667 0.7500 x2  6 O 2.02
3 Mo 0.0000 0.0000 0.0000 x2  6 O 2.21
4 O 0.0105 0.3519 0.6319 x12  1 Sb 2.02, 1 Hf 2.09, 1 Mo 2.21